GdCuSnIr (PBE, relaxed); space group = F-43m; Fermi-level density of states = 2.17 states/eV/f.u.; energy of formation from the pure elements = -413 meV per atom; final energy = -32.7 eV for the cell shown
1.0
0.000 3.362 3.362
3.362 0.000 3.362
3.362 3.362 0.000
Gd Cu Sn Ir
1 1 1 1
Direct
0.000 0.000 0.000
0.750 0.750 0.750
0.500 0.500 0.500
0.250 0.250 0.250